Record 1
VASP calculation (PBE-GGA) on crystalline Pr3SbS2 at its relaxed geometry.

As for the raw formation energy: -106.7 kJ/mol of atoms. As for the crystal system: orthorhombic.

It has space group Cmcm (No. 63), with a = 11.158 Å, b = 11.469 Å, c = 6.664 Å, α = 90.00°, β = 90.00° and γ = 90.00°. The asymmetric unit holds Pr at (0.000, 0.107, 0.250), Pr at (0.159, 0.413, 0.250), Sb at (0.000, 0.355, 0.750) and S at (0.165, 0.000, 0.000).


Record 2
VASP calculation (PBE-GGA) on crystalline In4AgPd3 at its relaxed geometry.

As for the formation energy: -0.3545 eV/atom. As for the crystal system: trigonal.

It has space group R-3m (No. 166, hexagonal axes), with a = 4.7122 Å, b = 4.7122 Å, c = 23.2897 Å, α = 90.00°, β = 90.00° and γ = 120.00°. The asymmetric unit holds In at (0.0000, 0.0000, 0.1217), In at (0.0000, 0.0000, 0.3719), Ag at (0.0000, 0.0000, 0.5000), Pd at (0.0000, 0.0000, 0.0000) and Pd at (0.0000, 0.0000, 0.2475).


Record 3
VASP calculation (PBE-GGA) on crystalline Sn3Pd3Pt at its relaxed geometry.

As for the formation energy: -0.4493 eV/atom. As for the crystal system: orthorhombic.

It has space group Pnma (No. 62), with a = 10.951 Å, b = 4.361 Å, c = 11.061 Å, α = 90.00°, β = 90.00° and γ = 90.00°. The asymmetric unit holds Sn at (0.086, 0.250, 0.083), Sn at (0.091, 0.250, 0.583), Sn at (0.211, 0.750, 0.326), Pd at (0.059, 0.250, 0.337), Pd at (0.191, 0.750, 0.960), Pd at (0.197, 0.750, 0.699) and Pt at (0.035, 0.250, 0.834).


Record 4
VASP calculation (PBE-GGA) on crystalline TlAgSnSb at its relaxed geometry.

As for the raw formation energy: 14.6 kJ/mol of atoms. As for the crystal system: cubic.

It has space group F-43m (No. 216), with a = 7.475 Å, b = 7.475 Å, c = 7.475 Å, α = 90.00°, β = 90.00° and γ = 90.00°. The asymmetric unit holds Tl at (0.000, 0.000, 0.000), Ag at (0.250, 0.250, 0.750), Sn at (0.250, 0.250, 0.250) and Sb at (0.000, 0.000, 0.500).


Record 5
VASP calculation (PBE-GGA) on crystalline ZrNbNi2Ag at its relaxed geometry.

As for the formation energy: 1.2441 eV/atom. As for the crystal system: tetragonal.

It has space group P4/mmm (No. 123), with a = 4.563 Å, b = 4.563 Å, c = 4.864 Å, α = 90.00°, β = 90.00° and γ = 90.00°. The asymmetric unit holds Zr at (0.000, 0.000, 0.000), Nb at (0.500, 0.500, 0.000), Ni at (0.000, 0.500, 0.500) and Ag at (0.500, 0.500, 0.500).


Record 6
VASP calculation (PBE-GGA) on crystalline MnZnCr2Mo at its relaxed geometry.

As for the formation energy: 1.8837 eV/atom. As for the crystal system: tetragonal.

It has space group P4/mmm (No. 123), with a = 4.423 Å, b = 4.423 Å, c = 4.633 Å, α = 90.00°, β = 90.00° and γ = 90.00°. The asymmetric unit holds Mn at (0.000, 0.000, 0.000), Zn at (0.500, 0.500, 0.500), Cr at (0.000, 0.500, 0.500) and Mo at (0.500, 0.500, 0.000).


Record 7
VASP calculation (PBE-GGA) on crystalline ZnHgSN2 at its relaxed geometry.

As for the raw formation energy: 135.9 kJ/mol of atoms. As for the crystal system: tetragonal.

It has space group P4/mmm (No. 123), with a = 3.923 Å, b = 3.923 Å, c = 5.591 Å, α = 90.00°, β = 90.00° and γ = 90.00°. The asymmetric unit holds Zn at (0.000, 0.000, 0.000), Hg at (0.500, 0.500, 0.500), S at (0.000, 0.000, 0.500) and N at (0.000, 0.500, 0.000).


Record 8
VASP calculation (PBE-GGA) on crystalline Cs3Ce2PuTe6 at its relaxed geometry.

As for the raw formation energy: -122.0 kJ/mol of atoms. As for the crystal system: monoclinic.

It has space group C2/m (No. 12), with a = 8.147 Å, b = 14.112 Å, c = 9.293 Å, α = 90.00°, β = 106.99° and γ = 90.00°. The asymmetric unit holds Cs at (0.000, 0.000, 0.000), Cs at (0.000, 0.333, 0.000), Ce at (0.000, 0.167, 0.500), Pu at (0.000, 0.500, 0.500), Te at (0.230, 0.000, 0.692) and Te at (0.231, 0.333, 0.692).